# Sc2VFeRe

An optimized crystal structure of Sc2VFeRe (GGA-PBE, Alexandria).

Output
ΔE_f = 90.7 kJ/mol of atoms
Fermi-level density of states = 5.11 states/eV/f.u.
Size of the total moment = 4.35 Bohr magnetons per cell

POSCAR file:
```
Sc2VFeRe
1.0
-0.5517 -0.0710 5.0086
4.3390 -0.2231 0.4748
0.2479 5.0323 0.0986
Sc Re Fe V
2 1 1 1
Cartesian
0.1240 2.5162 0.0493
-0.2759 -0.0355 2.5043
0.0000 0.0000 0.0000
2.1695 -0.1115 0.2374
2.0176 2.3692 2.7910
```